A geometry-optimized MnHg3F6 structure, computed with GGA+U.

abc: 5.520 5.477 7.838
angles: 86.67 107.69 98.74
Sites, in units of the cell vectors:
1 Hg 0.500 0.500 0.000
2 Hg 0.500 0.000 0.500
3 Hg 0.000 0.000 0.500
4 F 0.768 0.789 0.821
5 F 0.886 0.804 0.176
6 F 0.114 0.196 0.824
7 F 0.700 0.227 0.959
8 F 0.300 0.773 0.041
9 F 0.232 0.211 0.179
10 Mn 0.000 0.000 0.000

Calculated values
* DOS at the Fermi energy: 1.79 states/eV/cell
* uncorrected energy: -3.5661 eV per atom
* size of the total moment: 4.0 μB/cell
* mass density: 5.7 g/cm³